[1]
# SmPaO2 | Alexandria via LeMat-Bulk | PBE | relaxed
data_SmPaO2
_chemical_formula_sum 'Sm1 Pa1 O2'
_cell_length_a 6.7496
_cell_length_b 6.7496
_cell_length_c 6.7496
_cell_angle_alpha 32.15
_cell_angle_beta 32.15
_cell_angle_gamma 32.15
_symmetry_space_group_name_H-M 'P 1'
_symmetry_Int_Tables_number 1
_symmetry_space_group_name_Hall 'P 1'
loop_
_atom_site_label
_atom_site_type_symbol
_atom_site_fract_x
_atom_site_fract_y
_atom_site_fract_z
_atom_site_occupancy
Sm1 Sm 0.0000 0.0000 0.0000 1
Pa1 Pa 0.5000 0.5000 0.5000 1
O1 O 0.3888 0.3888 0.3888 1
O2 O 0.6112 0.6112 0.6112 1
# **Energy relative to the elements, uncorrected**: -254.8 kJ per mole of atoms
# **Uncorrected energy**: -34.7 eV per formula unit
# **Space group**: R-3m
# **V**: 77.4 Å³/f.u.

---

[2]
# ScTiS3 | Alexandria via LeMat-Bulk | PBE | relaxed
data_ScTiS3
_chemical_formula_sum 'Sc1 Ti1 S3'
_cell_length_a 4.6478
_cell_length_b 4.6478
_cell_length_c 4.6478
_cell_angle_alpha 90.00
_cell_angle_beta 90.00
_cell_angle_gamma 90.00
_symmetry_space_group_name_H-M 'P 1'
_symmetry_Int_Tables_number 1
_symmetry_space_group_name_Hall 'P 1'
loop_
_atom_site_label
_atom_site_type_symbol
_atom_site_fract_x
_atom_site_fract_y
_atom_site_fract_z
_atom_site_occupancy
Sc1 Sc 0.0000 0.0000 0.0000 1
Ti1 Ti 0.5000 0.5000 0.5000 1
S1 S 0.0000 0.5000 0.5000 1
S2 S 0.5000 0.0000 0.5000 1
S3 S 0.5000 0.5000 0.0000 1
# **Energy relative to the elements, uncorrected**: -88.1 kJ per mole of atoms
# **Uncorrected energy**: -31.2 eV per formula unit
# **Space group**: Pm-3m
# **V**: 100.4 Å³/f.u.

---

[3]
# AcYCoAu | Alexandria via LeMat-Bulk | PBE | relaxed
data_AcYCoAu
_chemical_formula_sum 'Ac1 Y1 Co1 Au1'
_cell_length_a 5.1809
_cell_length_b 5.1809
_cell_length_c 5.1809
_cell_angle_alpha 60.00
_cell_angle_beta 60.00
_cell_angle_gamma 60.00
_symmetry_space_group_name_H-M 'P 1'
_symmetry_Int_Tables_number 1
_symmetry_space_group_name_Hall 'P 1'
loop_
_atom_site_label
_atom_site_type_symbol
_atom_site_fract_x
_atom_site_fract_y
_atom_site_fract_z
_atom_site_occupancy
Ac1 Ac 0.0000 0.0000 0.0000 1
Y1 Y 0.5000 0.5000 0.5000 1
Co1 Co 0.2500 0.2500 0.2500 1
Au1 Au 0.7500 0.7500 0.7500 1
# **Uncorrected energy**: -22.0 eV per formula unit
# **Space group**: F-43m
# **V**: 98.3 Å³/f.u.
# **DFT formation energy**: -0.265 eV/atom

---

[4]
# Hf3Th | Alexandria via LeMat-Bulk | PBE | relaxed
data_Hf3Th
_chemical_formula_sum 'Hf6 Th2'
_cell_length_a 6.6361
_cell_length_b 6.6361
_cell_length_c 5.2624
_cell_angle_alpha 90.00
_cell_angle_beta 90.00
_cell_angle_gamma 120.00
_symmetry_space_group_name_H-M 'P 1'
_symmetry_Int_Tables_number 1
_symmetry_space_group_name_Hall 'P 1'
loop_
_atom_site_label
_atom_site_type_symbol
_atom_site_fract_x
_atom_site_fract_y
_atom_site_fract_z
_atom_site_occupancy
Hf1 Hf 0.1550 0.3100 0.2500 1
Hf2 Hf 0.1550 0.8450 0.2500 1
Hf3 Hf 0.3100 0.1550 0.7500 1
Hf4 Hf 0.6900 0.8450 0.2500 1
Hf5 Hf 0.8450 0.1550 0.7500 1
Hf6 Hf 0.8450 0.6900 0.7500 1
Th1 Th 0.3333 0.6667 0.7500 1
Th2 Th 0.6667 0.3333 0.2500 1
# **Uncorrected energy**: -36.8 eV per formula unit
# **Space group**: P6_3/mmc
# **V**: 100.3 Å³/f.u.
# **DFT formation energy**: 0.120 eV/atom

---

[5]
# SmGaPd2 | Alexandria via LeMat-Bulk | PBE | relaxed
data_SmGaPd2
_chemical_formula_sum 'Sm1 Ga1 Pd2'
_cell_length_a 3.3976
_cell_length_b 3.3976
_cell_length_c 6.5686
_cell_angle_alpha 90.00
_cell_angle_beta 90.00
_cell_angle_gamma 90.00
_symmetry_space_group_name_H-M 'P 1'
_symmetry_Int_Tables_number 1
_symmetry_space_group_name_Hall 'P 1'
loop_
_atom_site_label
_atom_site_type_symbol
_atom_site_fract_x
_atom_site_fract_y
_atom_site_fract_z
_atom_site_occupancy
Sm1 Sm 0.0000 0.0000 0.0000 1
Ga1 Ga 0.0000 0.0000 0.5000 1
Pd1 Pd 0.5000 0.5000 0.2902 1
Pd2 Pd 0.5000 0.5000 0.7098 1
# **Uncorrected energy**: -20.7 eV per formula unit
# **Space group**: P4/mmm
# **V**: 75.8 Å³/f.u.
# **DFT formation energy**: -0.646 eV/atom

---

[6]
# PrNbSi2Os | Alexandria via LeMat-Bulk | PBE | relaxed
data_PrNbSi2Os
_chemical_formula_sum 'Pr1 Nb1 Si2 Os1'
_cell_length_a 6.2604
_cell_length_b 6.2604
_cell_length_c 6.2604
_cell_angle_alpha 141.83
_cell_angle_beta 141.83
_cell_angle_gamma 55.09
_symmetry_space_group_name_H-M 'P 1'
_symmetry_Int_Tables_number 1
_symmetry_space_group_name_Hall 'P 1'
loop_
_atom_site_label
_atom_site_type_symbol
_atom_site_fract_x
_atom_site_fract_y
_atom_site_fract_z
_atom_site_occupancy
Pr1 Pr 0.0000 0.0000 0.0000 1
Nb1 Nb 0.2500 0.7500 0.5000 1
Si1 Si 0.3871 0.3871 0.0000 1
Si2 Si 0.6129 0.6129 0.0000 1
Os1 Os 0.7500 0.2500 0.5000 1
# **Energy relative to the elements, uncorrected**: -56.7 kJ per mole of atoms
# **Uncorrected energy**: -39.9 eV per formula unit
# **Space group**: I-4m2
# **V**: 93.0 Å³/f.u.

---

[7]
# Sr2CdNi3H12 | Alexandria via LeMat-Bulk | PBE | relaxed
data_Sr2CdNi3H12
_chemical_formula_sum 'Sr2 Cd1 Ni3 H12'
_cell_length_a 6.3668
_cell_length_b 6.3668
_cell_length_c 6.3668
_cell_angle_alpha 56.39
_cell_angle_beta 56.39
_cell_angle_gamma 56.39
_symmetry_space_group_name_H-M 'P 1'
_symmetry_Int_Tables_number 1
_symmetry_space_group_name_Hall 'P 1'
loop_
_atom_site_label
_atom_site_type_symbol
_atom_site_fract_x
_atom_site_fract_y
_atom_site_fract_z
_atom_site_occupancy
Sr1 Sr 0.1096 0.1096 0.1096 1
Sr2 Sr 0.8904 0.8904 0.8904 1
Cd1 Cd 0.5000 0.5000 0.5000 1
Ni1 Ni 0.0000 0.5000 0.5000 1
Ni2 Ni 0.5000 0.0000 0.5000 1
Ni3 Ni 0.5000 0.5000 0.0000 1
H1 H 0.0910 0.6077 0.6077 1
H2 H 0.1920 0.1920 0.6114 1
H3 H 0.1920 0.6114 0.1920 1
H4 H 0.3886 0.8080 0.8080 1
H5 H 0.3923 0.3923 0.9090 1
H6 H 0.3923 0.9090 0.3923 1
H7 H 0.6077 0.0910 0.6077 1
H8 H 0.6077 0.6077 0.0910 1
H9 H 0.6114 0.1920 0.1920 1
H10 H 0.8080 0.3886 0.8080 1
H11 H 0.8080 0.8080 0.3886 1
H12 H 0.9090 0.3923 0.3923 1
# **Uncorrected energy**: -64.8 eV per formula unit
# **Space group**: R-3m
# **V**: 167.3 Å³/f.u.

---

[8]
# Y3Er5Tm4 | Alexandria via LeMat-Bulk | PBE | relaxed
data_Y3Er5Tm4
_chemical_formula_sum 'Y3 Er5 Tm4'
_cell_length_a 6.0864
_cell_length_b 7.0433
_cell_length_c 8.6064
_cell_angle_alpha 89.93
_cell_angle_beta 89.97
_cell_angle_gamma 89.98
_symmetry_space_group_name_H-M 'P 1'
_symmetry_Int_Tables_number 1
_symmetry_space_group_name_Hall 'P 1'
loop_
_atom_site_label
_atom_site_type_symbol
_atom_site_fract_x
_atom_site_fract_y
_atom_site_fract_z
_atom_site_occupancy
Y1 Y 0.0000 0.0000 0.0000 1
Y2 Y 0.1664 0.2508 0.3348 1
Y3 Y 0.8336 0.7492 0.6652 1
Er1 Er 0.0000 0.5000 0.0000 1
Er2 Er 0.3347 0.0002 0.6670 1
Er3 Er 0.4985 0.7489 0.0005 1
Er4 Er 0.5015 0.2511 0.9995 1
Er5 Er 0.6653 0.9998 0.3330 1
Tm1 Tm 0.1681 0.7495 0.3342 1
Tm2 Tm 0.3334 0.4995 0.6676 1
Tm3 Tm 0.6666 0.5005 0.3324 1
Tm4 Tm 0.8319 0.2505 0.6657 1
# **Uncorrected energy**: -59.8 eV per formula unit
# **Space group**: P-1
# **V**: 368.9 Å³/f.u.
# **DFT formation energy**: 0.027 eV/atom